{
  "formula": "ScH2F5",
  "functional": "GGA-PBE",
  "state": "optimized geometry",
  "lattice_angstrom": [[-4.627, 1.535, -0.463], [-0.476, -4.714, -1.238], [1.172, 1.937, 4.343]],
  "species": ["F", "F", "F", "F", "F", "Sc", "H", "H"],
  "frac_coords": [[0.370, 0.224, 0.951], [0.630, 0.582, 0.855], [0.727, 0.951, 0.582], [0.273, 0.855, 0.224], [0.000, 0.403, 0.403], [0.000, 0.903, 0.902], [0.500, 0.403, 0.903], [0.500, 0.903, 0.403]],
  "spacegroup": "No. 87",
  "total_energy_ev_per_cell": -43.9
}